Compound: Cr2FeSi
Source: Alexandria via LeMat-Bulk
Functional: PBE-GGA
Structure: optimized geometry

a = 8.160 Å, b = 8.160 Å, c = 8.160 Å
α = 18.16°, β = 18.16°, γ = 18.16°
Each line ends with the local moment (μB).
Sites, in units of the cell vectors:
Cr 0.001 0.001 0.001  -0.05
Cr 0.246 0.246 0.246  -0.23
Fe 0.500 0.500 0.500  0.82
Si 0.753 0.753 0.753  -0.01

- space group = R3m (160)
- total magnetic moment (Bohr magnetons per cell) = 0.51

---

Compound: CrFeSi2
Source: Alexandria via LeMat-Bulk
Functional: PBE-GGA
Structure: optimized geometry

a = 3.707 Å, b = 2.593 Å, c = 4.982 Å
α = 89.95°, β = 90.00°, γ = 90.00°
Each line ends with the local moment (μB).
Sites, in units of the cell vectors:
Cr 0.500 0.250 0.250  -0.52
Fe 0.500 0.750 0.750  1.03
Si 0.000 0.752 0.008  0.01
Si 0.000 0.748 0.492  0.01

- space group = Pmmm (47)
- total magnetic moment (Bohr magnetons per cell) = 0.50

---

Compound: CrFeSi
Source: Alexandria via LeMat-Bulk
Functional: PBE-GGA
Structure: optimized geometry

a = 4.783 Å, b = 3.860 Å, c = 8.509 Å
α = 90.00°, β = 121.99°, γ = 90.00°
Sites, in units of the cell vectors:
Cr 0.766 0.000 0.264
Cr 0.766 0.500 0.764
Cr 0.449 0.000 0.609
Cr 0.449 0.500 0.109
Si 0.141 0.000 0.938
Si 0.141 0.500 0.438
Si 0.927 0.000 0.593
Si 0.927 0.500 0.093
Fe 0.641 0.000 0.939
Fe 0.641 0.500 0.439
Fe 0.249 0.000 0.255
Fe 0.249 0.500 0.755

- space group = Cm (8)
- total magnetic moment (Bohr magnetons per cell) = 0.00

---

Compound: Cr2FeSi
Source: Alexandria via LeMat-Bulk
Functional: PBE-GGA
Structure: optimized geometry

a = 4.590 Å, b = 4.590 Å, c = 3.983 Å
α = 64.29°, β = 64.29°, γ = 37.76°
Each line ends with the local moment (μB).
Sites, in units of the cell vectors:
Cr 0.008 0.008 0.992  0.60
Cr 0.747 0.747 0.753  -0.86
Fe 0.499 0.499 0.501  1.49
Si 0.247 0.247 0.253  0.00

- space group = Imm2 (44)
- total magnetic moment (Bohr magnetons per cell) = 1.18

---

Number 1: formation energy (no corrections) 0.08 eV per atom, energy -8.21 eV per atom. Number 2: formation energy (no corrections) -0.14 eV per atom, energy -7.38 eV per atom. Number 3: formation energy (no corrections) -0.23 eV per atom, energy -8.07 eV per atom. Number 4: formation energy (no corrections) -0.19 eV per atom, energy -8.47 eV per atom.